w:
A relaxed SrLiLa2Rh crystal, computed with PBE-GGA.

As for the space group: P4/mmm, No. 123. As for the magnetization: 0.00 Bohr magnetons per cell.

```
SrLiLa2Rh
1.0
5.521 0.000 0.000
0.000 5.521 0.000
0.000 0.000 6.154
Sr Li La Rh
1 1 2 1
direct
0.000 0.000 0.000 Sr
0.500 0.500 0.000 Li
0.000 0.500 0.500 La
0.500 0.000 0.500 La
0.000 0.000 0.500 Rh
```

x:
A relaxed SrLiLa2Rh crystal, computed with PBE-GGA.

As for the space group: P4/mmm, No. 123. As for the magnetization: 0.00 Bohr magnetons per cell.

```
SrLiLa2Rh
1.0
5.488 0.000 0.000
0.000 5.488 0.000
0.000 0.000 5.702
Sr Li La Rh
1 1 2 1
direct
0.000 0.000 0.000 Sr
0.500 0.500 0.000 Li
0.000 0.500 0.500 La
0.500 0.000 0.500 La
0.500 0.500 0.500 Rh
```

Short version: w is the most stable of them.

w:
A relaxed Li2LaRu crystal, computed with PBE-GGA.

As for the space group: R3m, No. 160. As for the magnetization: 0.00 Bohr magnetons per cell.

```
Li2LaRu
1.0
4.229 0.000 0.000
-2.115 3.663 0.000
0.000 0.000 15.827
Li La Ru
6 3 3
direct
0.000 0.000 0.000 Li
0.000 0.000 0.289 Li
0.333 0.667 0.667 Li
0.333 0.667 0.955 Li
0.667 0.333 0.333 Li
0.667 0.333 0.622 Li
0.000 0.000 0.477 La
0.333 0.667 0.144 La
0.667 0.333 0.810 La
0.000 0.000 0.728 Ru
0.333 0.667 0.395 Ru
0.667 0.333 0.061 Ru
```

x:
A relaxed Li2LaRu crystal, computed with PBE-GGA.

As for the space group: Cmm2, No. 35. As for the magnetization: 0.00 Bohr magnetons per cell.

```
Li2LaRu
1.0
4.804 0.000 0.000
0.000 4.876 0.000
0.000 0.000 7.276
Li La Ru
4 2 2
direct
0.000 0.000 0.000 Li
0.000 0.500 0.195 Li
0.500 0.000 0.195 Li
0.500 0.500 0.000 Li
0.000 0.000 0.593 La
0.500 0.500 0.593 La
0.000 0.500 0.809 Ru
0.500 0.000 0.809 Ru
```

Short version: x is the most stable of them.